(1)
First-principles (PBE-GGA) data for crystalline WSeCl2 at its relaxed geometry, as listed in Alexandria.

Cell lengths 6.642, 3.205, 6.662 Å; angles 90.00, 117.89, 90.00 degrees
Space group Pm (No. 6)
Asymmetric unit:
1 W 0.000 0.000 0.000 [1 per cell]
2 Se 0.979 0.500 0.265 [1 per cell]
3 Cl 0.274 0.500 0.001 [1 per cell]
4 Cl 0.655 0.000 0.690 [1 per cell]

* formation energy (no corrections): -449 meV per atom
* relative energy among the computed polymorphs: 0.00 eV per formula unit


(2)
First-principles (PBE-GGA) data for crystalline AcAsHAu at its relaxed geometry, as listed in Alexandria.

Cell lengths 4.4800, 4.4800, 4.6577 Å; angles 90.00, 90.00, 120.00 degrees
Space group P3m1 (No. 156)
Asymmetric unit:
1 Ac 0.0000 0.0000 0.0000 [1 per cell]
2 As 0.6667 0.3333 0.5823 [1 per cell]
3 H 0.3333 0.6667 0.0612 [1 per cell]
4 Au 0.3333 0.6667 0.4568 [1 per cell]

* VASP energy: -18.5 eV per cell


(3)
First-principles (PBE-GGA) data for crystalline SrTlBr2 at its relaxed geometry, as listed in Alexandria.

Cell lengths 4.386, 6.534, 10.324 Å; angles 90.00, 90.00, 90.00 degrees
Space group Immm (No. 71)
Asymmetric unit:
1 Sr 0.000 0.000 0.000 [2 per cell]
2 Tl 0.000 0.000 0.500 [2 per cell]
3 Br 0.000 0.500 0.301 [4 per cell]

* formation energy (no corrections): -1213 meV per atom
* relative energy among the computed polymorphs: 0.54 eV per formula unit


(4)
First-principles (PBE-GGA) data for crystalline Ac2YTh at its relaxed geometry, as listed in Alexandria.

Cell lengths 3.776, 3.776, 10.657 Å; angles 90.00, 90.00, 90.00 degrees
Space group P4/mmm (No. 123)
Asymmetric unit:
1 Ac 0.000 0.000 0.246 [2 per cell]
2 Y 0.500 0.500 0.500 [1 per cell]
3 Th 0.500 0.500 0.000 [1 per cell]

* relative energy among the computed polymorphs: 0.00 eV per formula unit
* ΔH_f (0 K): 0.5 eV/f.u.


(5)
First-principles (PBE-GGA) data for crystalline NaSrUBr6 at its relaxed geometry, as listed in Alexandria.

Cell lengths 7.4900, 7.4900, 13.5215 Å; angles 90.00, 90.00, 120.00 degrees
Space group P-31c (No. 163)
Asymmetric unit:
1 Na 0.3333 0.6667 0.2500 [2 per cell]
2 Sr 0.0000 0.0000 0.0000 [2 per cell]
3 U 0.3333 0.6667 0.7500 [2 per cell]
4 Br 0.0087 0.3477 0.6280 [12 per cell]

* formation energy (no corrections): -1603 meV per atom


(6)
First-principles (PBE-GGA) data for crystalline Si2PW at its relaxed geometry, as listed in Alexandria.

Cell lengths 3.157, 4.128, 4.301 Å; angles 90.00, 90.00, 90.00 degrees
Space group Pmmm (No. 47)
Asymmetric unit:
1 Si 0.000 0.000 0.000 [1 per cell]
2 Si 0.500 0.500 0.000 [1 per cell]
3 P 0.000 0.500 0.500 [1 per cell]
4 W 0.500 0.000 0.500 [1 per cell]

* formation energy (no corrections): 428 meV per atom


(7)
First-principles (PBE-GGA) data for crystalline NdGePd4 at its relaxed geometry, as listed in Alexandria.

Cell lengths 7.623, 7.623, 7.623 Å; angles 90.00, 90.00, 90.00 degrees
Space group F-43m (No. 216)
Asymmetric unit:
1 Nd 0.000 0.000 0.000 [4 per cell]
2 Ge 0.250 0.250 0.750 [4 per cell]
3 Pd 0.125 0.125 0.375 [16 per cell]

* relative energy among the computed polymorphs: 1.09 eV per formula unit
* ΔH_f (0 K): -2.9 eV/f.u.


(8)
First-principles (PBE-GGA) data for crystalline SmGa2Cu4 at its relaxed geometry, as listed in Alexandria.

Cell lengths 7.394, 7.394, 4.050 Å; angles 90.00, 90.00, 90.00 degrees
Space group P4_2/mnm (No. 136)
Asymmetric unit:
1 Sm 0.000 0.000 0.000 [2 per cell]
2 Ga 0.214 0.214 0.500 [4 per cell]
3 Cu 0.093 0.647 0.500 [8 per cell]

* relative energy among the computed polymorphs: 0.00 eV per formula unit
* ΔH_f (0 K): -1.9 eV/f.u.


(9)
First-principles (PBE-GGA) data for crystalline Ho3Sc4Se8 at its relaxed geometry, as listed in Alexandria.

Cell lengths 11.171, 11.178, 7.875 Å; angles 90.00, 134.79, 90.00 degrees
Space group C2/m (No. 12)
Asymmetric unit:
1 Ho 0.000 0.000 0.000 [2 per cell]
2 Ho 0.250 0.250 0.500 [4 per cell]
3 Sc 0.000 0.500 0.000 [2 per cell]
4 Sc 0.000 0.500 0.500 [2 per cell]
5 Sc 0.250 0.250 0.000 [4 per cell]
6 Se 0.000 0.251 0.500 [4 per cell]
7 Se 0.000 0.254 0.000 [4 per cell]
8 Se 0.245 0.500 0.491 [4 per cell]
9 Se 0.245 0.500 0.999 [4 per cell]

* formation energy (no corrections): -1724 meV per atom


(10)
First-principles (PBE-GGA) data for crystalline Zr2CoCu at its relaxed geometry, as listed in Alexandria.

Cell lengths 6.448, 6.455, 3.235 Å; angles 90.00, 90.00, 90.00 degrees
Space group Cmmm (No. 65)
Asymmetric unit:
1 Zr 0.250 0.250 0.000 [4 per cell]
2 Co 0.000 0.000 0.500 [2 per cell]
3 Cu 0.000 0.500 0.500 [2 per cell]

* ΔH_f (0 K): -0.8 eV/f.u.


(11)
First-principles (PBE-GGA) data for crystalline Li6LaIn6 at its relaxed geometry, as listed in Alexandria.

Cell lengths 5.729, 9.734, 9.837 Å; angles 90.00, 90.00, 90.00 degrees
Space group Immm (No. 71)
Asymmetric unit:
1 Li 0.000 0.000 0.230 [4 per cell]
2 Li 0.250 0.250 0.250 [8 per cell]
3 La 0.000 0.500 0.500 [2 per cell]
4 In 0.000 0.152 0.500 [4 per cell]
5 In 0.000 0.204 0.000 [4 per cell]
6 In 0.000 0.500 0.157 [4 per cell]

* ΔH_f (0 K): -4.3 eV/f.u.


(12)
First-principles (PBE-GGA) data for crystalline SrCoW2 at its relaxed geometry, as listed in Alexandria.

Cell lengths 3.1713, 3.1713, 26.7327 Å; angles 90.00, 90.00, 120.00 degrees
Space group R3m (No. 160, hexagonal axes)
Asymmetric unit:
1 Sr 0.0000 0.0000 0.0000 [3 per cell]
2 Co 0.0000 0.0000 0.2411 [3 per cell]
3 W 0.0000 0.0000 0.5088 [3 per cell]
4 W 0.0000 0.0000 0.7733 [3 per cell]

* relative energy among the computed polymorphs: 0.97 eV per formula unit
* ΔH_f (0 K): 3.6 eV/f.u.


(13)
First-principles (PBE-GGA) data for crystalline Dy12Bi3H5 at its relaxed geometry, as listed in Alexandria.

Cell lengths 15.744, 15.744, 15.744 Å; angles 90.00, 90.00, 90.00 degrees
Space group Ia-3d (No. 230)
Asymmetric unit:
1 Dy 0.044 0.052 0.650 [96 per cell]
2 Bi 0.000 0.250 0.125 [24 per cell]
3 H 0.000 0.000 0.000 [16 per cell]
4 H 0.000 0.250 0.375 [24 per cell]

* VASP energy: -720.6 eV per cell


(14)
First-principles (PBE-GGA) data for crystalline Dy7CI12 at its relaxed geometry, as listed in Alexandria.

Cell lengths 15.5108, 15.5108, 10.2997 Å; angles 90.00, 90.00, 120.00 degrees
Space group R-3 (No. 148, hexagonal axes)
Asymmetric unit:
1 Dy 0.0000 0.0000 0.0000 [3 per cell]
2 Dy 0.0412 0.8938 0.3620 [18 per cell]
3 C 0.0000 0.0000 0.5000 [3 per cell]
4 I 0.0253 0.4387 0.1647 [18 per cell]
5 I 0.0521 0.8682 0.8349 [18 per cell]

* formation energy (no corrections): -1197 meV per atom


(15)
First-principles (PBE-GGA) data for crystalline TaGaNi2Sn at its relaxed geometry, as listed in Alexandria.

Cell lengths 4.636, 4.636, 5.423 Å; angles 90.00, 90.00, 90.00 degrees
Space group P4/mmm (No. 123)
Asymmetric unit:
1 Ta 0.000 0.000 0.000 [1 per cell]
2 Ga 0.500 0.500 0.500 [1 per cell]
3 Ni 0.000 0.500 0.000 [2 per cell]
4 Sn 0.000 0.000 0.500 [1 per cell]

* ΔH_f (0 K): 5.3 eV/f.u.


(16)
First-principles (PBE-GGA) data for crystalline MgN3F12 at its relaxed geometry, as listed in Alexandria.

Cell lengths 8.1443, 8.1443, 30.6703 Å; angles 90.00, 90.00, 120.00 degrees
Space group R3c (No. 161, hexagonal axes)
Asymmetric unit:
1 Mg 0.0000 0.0000 0.0000 [6 per cell]
2 N 0.0727 0.3561 0.2444 [18 per cell]
3 F 0.0523 0.5142 0.9438 [18 per cell]
4 F 0.0917 0.5305 0.1407 [18 per cell]
5 F 0.1341 0.4143 0.8874 [18 per cell]
6 F 0.1850 0.4318 0.7150 [18 per cell]

* formation energy (no corrections): -855 meV per atom


(17)
First-principles (PBE-GGA) data for crystalline Li2BeMo at its relaxed geometry, as listed in Alexandria.

Cell lengths 2.475, 4.319, 4.968 Å; angles 90.00, 90.00, 90.00 degrees
Space group Pmmm (No. 47)
Asymmetric unit:
1 Li 0.000 0.000 0.238 [2 per cell]
2 Be 0.500 0.500 0.000 [1 per cell]
3 Mo 0.500 0.500 0.500 [1 per cell]

* relative energy among the computed polymorphs: 0.97 eV per formula unit
* ΔH_f (0 K): 1.8 eV/f.u.


(18)
First-principles (PBE-GGA) data for crystalline KHg2Os at its relaxed geometry, as listed in Alexandria.

Cell lengths 2.793, 6.005, 12.193 Å; angles 90.00, 90.00, 90.00 degrees
Space group Immm (No. 71)
Asymmetric unit:
1 K 0.000 0.000 0.000 [2 per cell]
2 Hg 0.000 0.500 0.199 [4 per cell]
3 Os 0.000 0.000 0.500 [2 per cell]

* relative energy among the computed polymorphs: 0.90 eV per formula unit
* ΔH_f (0 K): 3.2 eV/f.u.


(19)
First-principles (PBE-GGA) data for crystalline Rb4Cd3Hg2 at its relaxed geometry, as listed in Alexandria.

Cell lengths 19.222, 4.877, 8.801 Å; angles 90.00, 108.29, 90.00 degrees
Space group C2/m (No. 12)
Asymmetric unit:
1 Rb 0.075 0.000 0.378 [4 per cell]
2 Rb 0.234 0.500 0.193 [4 per cell]
3 Cd 0.000 0.500 0.000 [2 per cell]
4 Cd 0.098 0.500 0.753 [4 per cell]
5 Hg 0.092 0.000 0.956 [4 per cell]

* ΔH_f (0 K): -1.0 eV/f.u.


(20)
First-principles (PBE-GGA) data for crystalline MnReSe2 at its relaxed geometry, as listed in Alexandria.

Cell lengths 3.186, 3.186, 7.496 Å; angles 90.00, 90.00, 90.00 degrees
Space group P4mm (No. 99)
Asymmetric unit:
1 Mn 0.000 0.000 0.000 [1 per cell]
2 Re 0.500 0.500 0.211 [1 per cell]
3 Se 0.000 0.000 0.396 [1 per cell]
4 Se 0.500 0.500 0.856 [1 per cell]

* formation energy (no corrections): 37 meV per atom
* relative energy among the computed polymorphs: 0.69 eV per formula unit


no.,magnetization (Bohr magnetons per cell)
1,0.00
2,0.00
3,0.00
4,0.00
5,6.00
6,0.00
7,0.00
8,0.00
9,0.00
10,0.28
11,0.00
12,3.69
13,0.00
14,3.88
15,0.00
16,6.01
17,0.00
18,0.00
19,0.00
20,3.35